The following is a meta-GGA SCAN calculation of a PBEsol-optimized structure of Li2FeCo, from Alexandria.

```
data_Li2FeCo
_chemical_formula_sum 'Li2 Fe1 Co1'
_cell_length_a 3.0888
_cell_length_b 3.0888
_cell_length_c 4.8079
_cell_angle_alpha 90.00
_cell_angle_beta 90.00
_cell_angle_gamma 90.00
_symmetry_space_group_name_H-M 'P 4/m m m'
_symmetry_Int_Tables_number 123
_symmetry_space_group_name_Hall '-P 4 2'
loop_
_atom_site_label
_atom_site_type_symbol
_atom_site_fract_x
_atom_site_fract_y
_atom_site_fract_z
Li1 Li 0.0000 0.0000 0.2397
Fe1 Fe 0.5000 0.5000 0.5000
Co1 Co 0.5000 0.5000 0.0000
```

Calculated values
Electronic total energy (eV/cell): -38.4
Energy of formation (eV per atom): 0.460
M_tot (μB/f.u.): 4.498



The following is a meta-GGA SCAN calculation of a PBEsol-optimized structure of Li2FeCo, from Alexandria.

```
data_Li2FeCo
_chemical_formula_sum 'Li2 Fe1 Co1'
_cell_length_a 2.3987
_cell_length_b 4.3902
_cell_length_c 4.2967
_cell_angle_alpha 90.00
_cell_angle_beta 93.31
_cell_angle_gamma 90.00
_symmetry_space_group_name_H-M 'P 1 2/m 1'
_symmetry_Int_Tables_number 10
_symmetry_space_group_name_Hall '-P 2y'
loop_
_atom_site_label
_atom_site_type_symbol
_atom_site_fract_x
_atom_site_fract_y
_atom_site_fract_z
Li1 Li 0.2409 0.0000 0.2532
Fe1 Fe 0.5000 0.5000 0.0000
Co1 Co 0.0000 0.5000 0.5000
```

Calculated values
Electronic total energy (eV/cell): -39.4
Energy of formation (eV per atom): 0.203
M_tot (μB/f.u.): 3.860



The following is a meta-GGA SCAN calculation of a PBEsol-optimized structure of Li2FeCo, from Alexandria.

```
data_Li2FeCo
_chemical_formula_sum 'Li4 Fe2 Co2'
_cell_length_a 8.1850
_cell_length_b 2.3561
_cell_length_c 4.9337
_cell_angle_alpha 90.00
_cell_angle_beta 93.31
_cell_angle_gamma 90.00
_symmetry_space_group_name_H-M 'C 1 m 1'
_symmetry_Int_Tables_number 8
_symmetry_space_group_name_Hall 'C -2y'
loop_
_atom_site_label
_atom_site_type_symbol
_atom_site_fract_x
_atom_site_fract_y
_atom_site_fract_z
Li1 Li 0.0000 0.0000 0.0000
Li2 Li 0.2450 0.0000 0.7562
Fe1 Fe 0.2503 0.5000 0.2892
Co1 Co 0.4970 0.0000 0.4715
```

Calculated values
Electronic total energy (eV/cell): -78.6
Energy of formation (eV per atom): 0.224
M_tot (μB/f.u.): 4.005



The following is a meta-GGA SCAN calculation of a PBEsol-optimized structure of Li2FeCo, from Alexandria.

```
data_Li2FeCo
_chemical_formula_sum 'Li2 Fe1 Co1'
_cell_length_a 2.8113
_cell_length_b 2.8113
_cell_length_c 6.8347
_cell_angle_alpha 90.00
_cell_angle_beta 90.00
_cell_angle_gamma 90.00
_symmetry_space_group_name_H-M 'P 4 m m'
_symmetry_Int_Tables_number 99
_symmetry_space_group_name_Hall 'P 4 -2'
loop_
_atom_site_label
_atom_site_type_symbol
_atom_site_fract_x
_atom_site_fract_y
_atom_site_fract_z
Li1 Li 0.0000 0.0000 0.0000
Li2 Li 0.5000 0.5000 0.3201
Fe1 Fe 0.5000 0.5000 0.7338
Co1 Co 0.0000 0.0000 0.5658
```

Calculated values
Electronic total energy (eV/cell): -39.6
Energy of formation (eV per atom): 0.162
M_tot (μB/f.u.): 4.367



> Which of these has the highest energy of formation?

number 1



> Look up the energy of formation of the third one.

0.224 eV per atom



> M_tot of number 2 (Li2FeCo)?

3.860 μB/f.u.



What did the third record say?
The following is a meta-GGA SCAN calculation of a PBEsol-optimized structure of Li2FeCo, from Alexandria.

```
data_Li2FeCo
_chemical_formula_sum 'Li4 Fe2 Co2'
_cell_length_a 8.1850
_cell_length_b 2.3561
_cell_length_c 4.9337
_cell_angle_alpha 90.00
_cell_angle_beta 93.31
_cell_angle_gamma 90.00
_symmetry_space_group_name_H-M 'C 1 m 1'
_symmetry_Int_Tables_number 8
_symmetry_space_group_name_Hall 'C -2y'
loop_
_atom_site_label
_atom_site_type_symbol
_atom_site_fract_x
_atom_site_fract_y
_atom_site_fract_z
Li1 Li 0.0000 0.0000 0.0000
Li2 Li 0.2450 0.0000 0.7562
Fe1 Fe 0.2503 0.5000 0.2892
Co1 Co 0.4970 0.0000 0.4715
```

Calculated values
Electronic total energy (eV/cell): -78.6
Energy of formation (eV per atom): 0.224
M_tot (μB/f.u.): 4.005